The following is a PBE calculation of an optimized crystal structure of KMnPbI5, from Alexandria via LeMat-Bulk.

Summary:
Calculated total energy = -3.479 eV per atom
Total moment = 4.98 μB/f.u.
Formation energy without anion corrections = -0.76 eV per atom

Cell and atoms, written as CIF:
```
data_KMnPbI5
_chemical_formula_sum 'K4 Mn4 Pb4 I20'
_cell_length_a 10.4450
_cell_length_b 13.6906
_cell_length_c 11.5161
_cell_angle_alpha 90.00
_cell_angle_beta 114.23
_cell_angle_gamma 90.00
_symmetry_space_group_name_H-M 'C 1 2/c 1'
_symmetry_Int_Tables_number 15
loop_
_symmetry_equiv_pos_as_xyz
'x,y,z'
'-x,-y,-z'
'-x,y,-z+1/2'
'x,-y,z+1/2'
'x+1/2,y+1/2,z'
'-x+1/2,-y+1/2,-z'
'-x+1/2,y+1/2,-z+1/2'
'x+1/2,-y+1/2,z+1/2'
loop_
_atom_site_label
_atom_site_type_symbol
_atom_site_fract_x
_atom_site_fract_y
_atom_site_fract_z
K1 K 0.0000 0.1446 0.2500
Mn1 Mn 0.0000 0.1837 0.7500
Pb1 Pb 0.0000 0.5000 0.0000
I1 I 0.0000 0.4008 0.2500
I2 I 0.1307 0.2900 0.6337
I3 I 0.1737 0.0658 0.9386
```